NpCdWO6: optimized geometry, GGA+U.

Cell and atoms, written as POSCAR:
```
NpCdWO6
1.0
-0.040 -4.170 2.680
-1.285 -2.579 -4.033
9.767 -1.483 -2.163
Np Cd W O
2 2 2 12
Cartesian
7.455 -4.608 -2.475
3.234 -0.491 -0.716
4.223 -4.117 -1.759
0.002 0.000 -0.001
0.925 -3.616 -1.028
6.470 -0.983 -1.433
3.908 -3.622 -3.916
4.702 -4.636 0.362
-0.338 -2.164 -0.450
-0.819 -4.611 -0.941
0.729 -3.198 -2.921
1.419 -4.079 0.799
6.252 -2.875 -1.841
5.662 -5.885 -2.445
7.684 -5.059 -0.448
6.944 -4.113 -4.439
2.162 -5.213 -1.636
2.699 -2.476 -1.088
```

Computed properties:
M_tot	3.00	μB/f.u.
space-group type	P4_2nm (102)
DFT total energy	-7.80	eV/atom